(1)
First-principles (PBE) data for TcAs2W after structural relaxation, as listed in Alexandria via LeMat-Bulk. Values from VASP.

```
&SYSTEM
  ibrav = 0, nat = 8, ntyp = 3
/
ATOMIC_SPECIES
Tc 98.00 Tc.upf
As 74.92 As.upf
W 183.84 W.upf
CELL_PARAMETERS angstrom
3.1176 0.0000 0.0000
0.0000 4.7129 0.0000
0.0000 0.0000 9.7784
ATOMIC_POSITIONS crystal
Tc 0.0000 0.0000 0.0000
Tc 0.5000 0.5000 0.0000
As 0.0000 0.0000 0.5571
As 0.0000 0.5000 0.2048
As 0.5000 0.0000 0.2048
As 0.5000 0.5000 0.5571
W 0.0000 0.5000 0.7754
W 0.5000 0.0000 0.7754
```

Summary:
The value obtained for the formation energy from the elements is 0.242 eV/atom.

=====

(2)
First-principles (PBE) data for CoCu2Si after structural relaxation, as listed in Alexandria via LeMat-Bulk. Values from VASP.

```
&SYSTEM
  ibrav = 0, nat = 8, ntyp = 3
/
ATOMIC_SPECIES
Co 58.93 Co.upf
Cu 63.55 Cu.upf
Si 28.09 Si.upf
CELL_PARAMETERS angstrom
2.7028 0.0000 0.0000
0.0000 3.9617 0.0000
0.0000 0.0000 8.5592
ATOMIC_POSITIONS crystal
Co 0.0000 0.0000 0.0000
Co 0.5000 0.5000 0.5000
Cu 0.0000 0.5000 0.2364
Cu 0.0000 0.5000 0.7636
Cu 0.5000 0.0000 0.2636
Cu 0.5000 0.0000 0.7364
Si 0.0000 0.0000 0.5000
Si 0.5000 0.5000 0.0000
```

Summary:
Its raw formation energy is -0.11 eV per atom.

=====

(3)
First-principles (PBE) data for NiIr4Ru4 after structural relaxation, as listed in Alexandria via LeMat-Bulk. Values from VASP.

```
&SYSTEM
  ibrav = 0, nat = 9, ntyp = 3
/
ATOMIC_SPECIES
Ni 58.69 Ni.upf
Ir 192.22 Ir.upf
Ru 101.07 Ru.upf
CELL_PARAMETERS angstrom
-4.0580 4.0580 1.9049
4.0580 -4.0580 1.9049
4.0580 4.0580 -1.9049
ATOMIC_POSITIONS crystal
Ni 0.0000 0.0000 0.0000
Ir 0.3325 0.3325 0.6649
Ir 0.3325 0.6675 0.0000
Ir 0.6675 0.3325 0.0000
Ir 0.6675 0.6675 0.3351
Ru 0.0000 0.3380 0.3380
Ru 0.0000 0.6620 0.6620
Ru 0.3380 0.0000 0.3380
Ru 0.6620 0.0000 0.6620
```

Summary:
The value obtained for the formation energy from the elements is -0.001 eV/atom.

=====

(4)
First-principles (PBE) data for CaPm2Cd after structural relaxation, as listed in Alexandria via LeMat-Bulk. Values from VASP.

```
&SYSTEM
  ibrav = 0, nat = 16, ntyp = 3
/
ATOMIC_SPECIES
Ca 40.08 Ca.upf
Pm 145.00 Pm.upf
Cd 112.41 Cd.upf
CELL_PARAMETERS angstrom
7.9341 0.0000 0.0000
0.0000 7.9341 0.0000
0.0000 0.0000 7.9341
ATOMIC_POSITIONS crystal
Ca 0.0000 0.0000 0.0000
Ca 0.0000 0.5000 0.5000
Ca 0.5000 0.0000 0.5000
Ca 0.5000 0.5000 0.0000
Pm 0.2500 0.2500 0.2500
Pm 0.2500 0.2500 0.7500
Pm 0.2500 0.7500 0.2500
Pm 0.2500 0.7500 0.7500
Pm 0.7500 0.2500 0.2500
Pm 0.7500 0.2500 0.7500
Pm 0.7500 0.7500 0.2500
Pm 0.7500 0.7500 0.7500
Cd 0.0000 0.0000 0.5000
Cd 0.0000 0.5000 0.0000
Cd 0.5000 0.0000 0.0000
Cd 0.5000 0.5000 0.5000
```

Summary:
The value obtained for the formation energy from the elements is -0.045 eV/atom.

=====

(5)
First-principles (PBE) data for La9Ru2Br14 after structural relaxation, as listed in Alexandria via LeMat-Bulk. Values from VASP.

```
&SYSTEM
  ibrav = 0, nat = 25, ntyp = 3
/
ATOMIC_SPECIES
La 138.91 La.upf
Ru 101.07 Ru.upf
Br 79.90 Br.upf
CELL_PARAMETERS angstrom
8.9046 0.0000 0.0000
-4.4523 7.7116 0.0000
0.0000 0.0000 11.9879
ATOMIC_POSITIONS crystal
La 0.0000 0.0000 0.0000
La 0.0895 0.3608 0.3514
La 0.2713 0.9105 0.3514
La 0.3333 0.6667 0.0615
La 0.3608 0.2713 0.6486
La 0.6392 0.7287 0.3514
La 0.6667 0.3333 0.9385
La 0.7287 0.0895 0.6486
La 0.9105 0.6392 0.6486
Ru 0.3333 0.6667 0.2674
Ru 0.6667 0.3333 0.7326
Br 0.0000 0.0000 0.2537
Br 0.0000 0.0000 0.7463
Br 0.0495 0.6901 0.9065
Br 0.0954 0.4167 0.6068
Br 0.3099 0.3595 0.9065
Br 0.3212 0.9046 0.6068
Br 0.3595 0.0495 0.0935
Br 0.4167 0.3212 0.3932
Br 0.5833 0.6788 0.6068
Br 0.6405 0.9504 0.9065
Br 0.6788 0.0954 0.3932
Br 0.6901 0.6405 0.0935
Br 0.9046 0.5833 0.3932
Br 0.9504 0.3099 0.0935
```

Summary:
Its raw formation energy is -1.48 eV per atom.

=====

(6)
First-principles (PBE) data for Nd2ErPt2 after structural relaxation, as listed in Alexandria via LeMat-Bulk. Values from VASP.

```
&SYSTEM
  ibrav = 0, nat = 10, ntyp = 3
/
ATOMIC_SPECIES
Nd 144.24 Nd.upf
Er 167.26 Er.upf
Pt 195.08 Pt.upf
CELL_PARAMETERS angstrom
4.0294 0.0000 0.0000
0.0000 6.7678 0.0000
0.0000 0.0000 9.4926
ATOMIC_POSITIONS crystal
Nd 0.0000 0.0000 0.1933
Nd 0.0000 0.0000 0.8067
Nd 0.5000 0.5000 0.3067
Nd 0.5000 0.5000 0.6933
Er 0.0000 0.5000 0.0000
Er 0.5000 0.0000 0.5000
Pt 0.0000 0.2885 0.5000
Pt 0.0000 0.7115 0.5000
Pt 0.5000 0.2115 0.0000
Pt 0.5000 0.7885 0.0000
```

Summary:
The value obtained for the formation energy from the elements is -0.951 eV/atom.

=====

no.,DFT total energy (eV/atom)
1,-7.912
2,-5.292
3,-8.704
4,-3.150
5,-4.932
6,-6.187